Nd8ZnSi3I4 | GGA-PBE | relaxed

- formation energy from raw total energies (eV per atom) = -0.839
- density of states at the Fermi level (states/eV/f.u.) = 8.36

The structure in CIF format:
```
data_Nd8ZnSi3I4
_cell_length_a 9.146
_cell_length_b 9.146
_cell_length_c 9.146
_cell_angle_alpha 56.58
_cell_angle_beta 56.58
_cell_angle_gamma 56.58
_space_group_name_H-M_alt 'P 1'
_space_group_IT_number 1
_space_group_name_Hall 'P 1'
loop_
_atom_site_label
_atom_site_fract_x
_atom_site_fract_y
_atom_site_fract_z
Nd1 0.231 0.737 0.737
Nd2 0.233 0.233 0.233
Nd3 0.263 0.263 0.769
Nd4 0.263 0.769 0.263
Nd5 0.737 0.231 0.737
Nd6 0.737 0.737 0.231
Nd7 0.767 0.767 0.767
Nd8 0.769 0.263 0.263
Zn1 0.500 0.500 0.500
Si1 0.000 0.000 0.500
Si2 0.000 0.500 0.000
Si3 0.500 0.000 0.000
I1 0.000 0.000 0.000
I2 0.000 0.500 0.500
I3 0.500 0.000 0.500
I4 0.500 0.500 0.000
```



NdSmI5 | GGA-PBE | relaxed

- formation energy from raw total energies (eV per atom) = -1.369
- density of states at the Fermi level (states/eV/f.u.) = 1.87

The structure in CIF format:
```
data_NdSmI5
_cell_length_a 9.442
_cell_length_b 4.299
_cell_length_c 14.976
_cell_angle_alpha 90.00
_cell_angle_beta 95.54
_cell_angle_gamma 90.00
_space_group_name_H-M_alt 'P 1'
_space_group_IT_number 1
_space_group_name_Hall 'P 1'
loop_
_atom_site_label
_atom_site_fract_x
_atom_site_fract_y
_atom_site_fract_z
Nd1 0.106 0.250 0.150
Nd2 0.894 0.750 0.850
Sm1 0.414 0.750 0.343
Sm2 0.586 0.250 0.657
I1 0.071 0.750 0.307
I2 0.132 0.250 0.929
I3 0.323 0.250 0.482
I4 0.351 0.750 0.127
I5 0.369 0.750 0.710
I6 0.631 0.250 0.290
I7 0.649 0.250 0.873
I8 0.677 0.750 0.518
I9 0.868 0.750 0.071
I10 0.929 0.250 0.693
```



Nd2SmI8 | GGA-PBE | relaxed

- formation energy from raw total energies (eV per atom) = -1.244
- density of states at the Fermi level (states/eV/f.u.) = 1.07

The structure in CIF format:
```
data_Nd2SmI8
_cell_length_a 11.002
_cell_length_b 11.002
_cell_length_c 7.373
_cell_angle_alpha 97.08
_cell_angle_beta 97.08
_cell_angle_gamma 46.92
_space_group_name_H-M_alt 'P 1'
_space_group_IT_number 1
_space_group_name_Hall 'P 1'
loop_
_atom_site_label
_atom_site_fract_x
_atom_site_fract_y
_atom_site_fract_z
Nd1 0.144 0.144 0.426
Nd2 0.856 0.856 0.574
Sm1 0.000 0.000 0.000
I1 0.138 0.138 0.840
I2 0.204 0.681 0.735
I3 0.285 0.285 0.362
I4 0.319 0.796 0.265
I5 0.681 0.204 0.735
I6 0.715 0.715 0.638
I7 0.796 0.319 0.265
I8 0.862 0.862 0.160
```



Nd2SmI | GGA-PBE | relaxed

- formation energy from raw total energies (eV per atom) = -0.384
- density of states at the Fermi level (states/eV/f.u.) = 5.80
- polymorph energy (0 for the lowest one) (meV/atom) = 14.5

The structure in CIF format:
```
data_Nd2SmI
_cell_length_a 11.039
_cell_length_b 11.039
_cell_length_c 11.039
_cell_angle_alpha 20.07
_cell_angle_beta 20.07
_cell_angle_gamma 20.07
_space_group_name_H-M_alt 'P 1'
_space_group_IT_number 1
_space_group_name_Hall 'P 1'
loop_
_atom_site_label
_atom_site_fract_x
_atom_site_fract_y
_atom_site_fract_z
Nd1 0.000 0.000 0.000
Nd2 0.177 0.177 0.177
Sm1 0.422 0.422 0.422
I1 0.588 0.588 0.588
```



NdSmI6 | GGA-PBE | relaxed

- formation energy from raw total energies (eV per atom) = -1.350
- density of states at the Fermi level (states/eV/f.u.) = 0.00
- polymorph energy (0 for the lowest one) (meV/atom) = 21.3

The structure in CIF format:
```
data_NdSmI6
_cell_length_a 8.354
_cell_length_b 8.354
_cell_length_c 8.354
_cell_angle_alpha 55.39
_cell_angle_beta 55.39
_cell_angle_gamma 55.39
_space_group_name_H-M_alt 'P 1'
_space_group_IT_number 1
_space_group_name_Hall 'P 1'
loop_
_atom_site_label
_atom_site_fract_x
_atom_site_fract_y
_atom_site_fract_z
Nd1 0.000 0.000 0.000
Sm1 0.500 0.500 0.500
I1 0.088 0.748 0.415
I2 0.252 0.585 0.912
I3 0.415 0.088 0.748
I4 0.585 0.912 0.252
I5 0.748 0.415 0.088
I6 0.912 0.252 0.585
```



NdSmI6 | GGA-PBE | relaxed

- formation energy from raw total energies (eV per atom) = -1.371
- density of states at the Fermi level (states/eV/f.u.) = 0.00
- polymorph energy (0 for the lowest one) (meV/atom) = 0.0

The structure in CIF format:
```
data_NdSmI6
_cell_length_a 8.320
_cell_length_b 8.320
_cell_length_c 7.655
_cell_angle_alpha 98.23
_cell_angle_beta 98.23
_cell_angle_gamma 125.21
_space_group_name_H-M_alt 'P 1'
_space_group_IT_number 1
_space_group_name_Hall 'P 1'
loop_
_atom_site_label
_atom_site_fract_x
_atom_site_fract_y
_atom_site_fract_z
Nd1 0.000 0.000 0.000
Sm1 0.500 0.500 0.500
I1 0.105 0.399 0.253
I2 0.252 0.252 0.749
I3 0.399 0.105 0.253
I4 0.601 0.895 0.747
I5 0.748 0.748 0.251
I6 0.895 0.601 0.747
```



Nd2SmI | GGA-PBE | relaxed

- formation energy from raw total energies (eV per atom) = -0.398
- density of states at the Fermi level (states/eV/f.u.) = 3.65
- polymorph energy (0 for the lowest one) (meV/atom) = 0.0

The structure in CIF format:
```
data_Nd2SmI
_cell_length_a 11.066
_cell_length_b 11.066
_cell_length_c 11.066
_cell_angle_alpha 19.89
_cell_angle_beta 19.89
_cell_angle_gamma 19.89
_space_group_name_H-M_alt 'P 1'
_space_group_IT_number 1
_space_group_name_Hall 'P 1'
loop_
_atom_site_label
_atom_site_fract_x
_atom_site_fract_y
_atom_site_fract_z
Nd1 0.245 0.245 0.245
Nd2 0.755 0.755 0.755
Sm1 0.000 0.000 0.000
I1 0.500 0.500 0.500
```



Nd2SmI | GGA-PBE | relaxed

- formation energy from raw total energies (eV per atom) = -0.345
- density of states at the Fermi level (states/eV/f.u.) = 4.02
- polymorph energy (0 for the lowest one) (meV/atom) = 53.7

The structure in CIF format:
```
data_Nd2SmI
_cell_length_a 3.725
_cell_length_b 3.725
_cell_length_c 9.809
_cell_angle_alpha 90.00
_cell_angle_beta 90.00
_cell_angle_gamma 90.00
_space_group_name_H-M_alt 'P 1'
_space_group_IT_number 1
_space_group_name_Hall 'P 1'
loop_
_atom_site_label
_atom_site_fract_x
_atom_site_fract_y
_atom_site_fract_z
Nd1 0.000 0.000 0.241
Nd2 0.000 0.000 0.759
Sm1 0.500 0.500 0.500
I1 0.500 0.500 0.000
```



NdSmTeI | GGA-PBE | relaxed

- formation energy from raw total energies (eV per atom) = -1.095
- density of states at the Fermi level (states/eV/f.u.) = 2.86

The structure in CIF format:
```
data_NdSmTeI
_cell_length_a 5.458
_cell_length_b 5.458
_cell_length_c 5.458
_cell_angle_alpha 60.00
_cell_angle_beta 60.00
_cell_angle_gamma 60.00
_space_group_name_H-M_alt 'P 1'
_space_group_IT_number 1
_space_group_name_Hall 'P 1'
loop_
_atom_site_label
_atom_site_fract_x
_atom_site_fract_y
_atom_site_fract_z
Nd1 0.000 0.000 0.000
Sm1 0.500 0.500 0.500
Te1 0.750 0.750 0.750
I1 0.250 0.250 0.250
```



NdSn2I8 | GGA-PBE | relaxed

- formation energy from raw total energies (eV per atom) = -0.701
- density of states at the Fermi level (states/eV/f.u.) = 5.56

The structure in CIF format:
```
data_NdSn2I8
_cell_length_a 9.038
_cell_length_b 9.038
_cell_length_c 8.115
_cell_angle_alpha 101.79
_cell_angle_beta 101.79
_cell_angle_gamma 80.72
_space_group_name_H-M_alt 'P 1'
_space_group_IT_number 1
_space_group_name_Hall 'P 1'
loop_
_atom_site_label
_atom_site_fract_x
_atom_site_fract_y
_atom_site_fract_z
Nd1 0.000 0.000 0.000
Sn1 0.182 0.182 0.638
Sn2 0.818 0.818 0.362
I1 0.106 0.735 0.212
I2 0.212 0.212 0.268
I3 0.265 0.894 0.788
I4 0.382 0.382 0.843
I5 0.618 0.618 0.157
I6 0.735 0.106 0.212
I7 0.788 0.788 0.732
I8 0.894 0.265 0.788
```



NdSnI2 | GGA-PBE | relaxed

- formation energy from raw total energies (eV per atom) = -0.224
- density of states at the Fermi level (states/eV/f.u.) = 2.83

The structure in CIF format:
```
data_NdSnI2
_cell_length_a 11.531
_cell_length_b 11.531
_cell_length_c 11.531
_cell_angle_alpha 19.81
_cell_angle_beta 19.81
_cell_angle_gamma 19.81
_space_group_name_H-M_alt 'P 1'
_space_group_IT_number 1
_space_group_name_Hall 'P 1'
loop_
_atom_site_label
_atom_site_fract_x
_atom_site_fract_y
_atom_site_fract_z
Nd1 0.000 0.000 0.000
Sn1 0.500 0.500 0.500
I1 0.090 0.090 0.090
I2 0.910 0.910 0.910
```



Nd2SnI3 | GGA-PBE | relaxed

- formation energy from raw total energies (eV per atom) = -1.062
- density of states at the Fermi level (states/eV/f.u.) = 0.88

The structure in CIF format:
```
data_Nd2SnI3
_cell_length_a 10.474
_cell_length_b 10.474
_cell_length_c 14.095
_cell_angle_alpha 127.46
_cell_angle_beta 127.46
_cell_angle_gamma 24.28
_space_group_name_H-M_alt 'P 1'
_space_group_IT_number 1
_space_group_name_Hall 'P 1'
loop_
_atom_site_label
_atom_site_fract_x
_atom_site_fract_y
_atom_site_fract_z
Nd1 0.110 0.110 0.433
Nd2 0.373 0.373 0.175
Nd3 0.627 0.627 0.825
Nd4 0.890 0.890 0.567
Sn1 0.066 0.066 0.626
Sn2 0.934 0.934 0.374
I1 0.173 0.173 0.029
I2 0.258 0.258 0.385
I3 0.453 0.453 0.777
I4 0.547 0.547 0.223
I5 0.742 0.742 0.615
I6 0.827 0.827 0.971
```



| no. | VASP energy (eV/atom) | calculated volume (A^3/atom) |
| --- | --- | --- |
| 1 | -4.71 | 31.1 |
| 2 | -3.83 | 43.2 |
| 3 | -3.67 | 58.7 |
| 4 | -4.34 | 34.6 |
| 5 | -3.70 | 46.0 |
| 6 | -3.72 | 51.4 |
| 7 | -4.35 | 34.3 |
| 8 | -4.30 | 34.0 |
| 9 | -4.64 | 28.8 |
| 10 | -2.99 | 57.3 |
| 11 | -3.19 | 38.5 |
| 12 | -4.09 | 41.5 |